Compound: Th3In5Co2
Source: the Alexandria database
Functional: GGA-PBE
Structure: relaxed

For the energy of formation from the pure elements, the calculation gives -0.1419 eV per atom. As for the theoretical density: 9.5 g/cm³.

The structure belongs to space group Ibam (No. 72); the cell edges are 11.1632, 12.9407 and 6.7148 Å and the angles 90.00°, 90.00° and 90.00°. The asymmetric unit holds Th at (0.0000, 0.0000, 0.2500), Th at (0.2479, 0.1550, 0.0000), In at (0.0000, 0.2613, 0.2500), In at (0.0000, 0.5000, 0.2500), In at (0.1824, 0.4029, 0.0000) and Co at (0.1028, 0.1367, 0.5000).

Compound: Th2ZnInCo
Source: the Alexandria database
Functional: GGA-PBE
Structure: relaxed

For the energy of formation from the pure elements, the calculation gives -0.2912 eV per atom. As for the theoretical density: 9.9 g/cm³.

The structure belongs to space group P2_1/m (No. 11); the cell edges are 8.0823, 3.8536 and 8.0837 Å and the angles 90.00°, 110.06° and 90.00°. The asymmetric unit holds Th at (0.0839, 0.2500, 0.3274), Th at (0.2900, 0.2500, 0.9960), Zn at (0.4160, 0.7500, 0.3480), In at (0.3298, 0.7500, 0.6660) and Co at (0.1084, 0.7500, 0.0978).

Compound: Ti2In2Co
Source: the Alexandria database
Functional: GGA-PBE
Structure: relaxed

For the energy of formation from the pure elements, the calculation gives 0.1110 eV per atom. As for the theoretical density: 6.8 g/cm³.

The structure belongs to space group P4/mbm (No. 127); the cell edges are 6.2894, 6.2894 and 4.7378 Å and the angles 90.00°, 90.00° and 90.00°. The asymmetric unit holds Ti at (0.1564, 0.3436, 0.0000), In at (0.1653, 0.6653, 0.5000) and Co at (0.0000, 0.0000, 0.0000).

Compound: Ti12In6Co
Source: the Alexandria database
Functional: GGA-PBE
Structure: relaxed

For the energy of formation from the pure elements, the calculation gives -0.0049 eV per atom. As for the theoretical density: 6.3 g/cm³.

The structure belongs to space group R-3 (No. 148, hexagonal axes); the cell edges are 10.0326, 10.0326 and 11.9495 Å and the angles 90.00°, 90.00° and 120.00°. The asymmetric unit holds Ti at (0.0481, 0.1772, 0.3066), Ti at (0.0635, 0.8616, 0.9079), In at (0.0328, 0.4391, 0.2134) and Co at (0.0000, 0.0000, 0.5000).

Compound: TiIn2Co
Source: the Alexandria database
Functional: GGA-PBE
Structure: relaxed

For the energy of formation from the pure elements, the calculation gives 0.3371 eV per atom. As for the theoretical density: 7.3 g/cm³.

The structure belongs to space group I-42d (No. 122); the cell edges are 7.4289, 7.4289 and 5.5672 Å and the angles 90.00°, 90.00° and 90.00°. The asymmetric unit holds Ti at (0.0000, 0.0000, 0.0000), In at (0.2132, 0.2500, 0.6250) and Co at (0.0000, 0.0000, 0.5000).

Compound: TiInCo
Source: the Alexandria database
Functional: GGA-PBE
Structure: relaxed

For the energy of formation from the pure elements, the calculation gives -0.2022 eV per atom. As for the theoretical density: 7.1 g/cm³.

The structure belongs to space group Cmcm (No. 63); the cell edges are 3.0705, 17.0193 and 3.9576 Å and the angles 90.00°, 90.00° and 90.00°. The asymmetric unit holds Ti at (0.0000, 0.0707, 0.2500), In at (0.0000, 0.3040, 0.2500) and Co at (0.0000, 0.4541, 0.2500).

Compound: TiInCo2
Source: the Alexandria database
Functional: GGA-PBE
Structure: relaxed

For the energy of formation from the pure elements, the calculation gives 0.4425 eV per atom. As for the theoretical density: 7.1 g/cm³.

The structure belongs to space group I-42d (No. 122); the cell edges are 4.0021, 4.0021 and 16.4865 Å and the angles 90.00°, 90.00° and 90.00°. The asymmetric unit holds Ti at (0.0000, 0.0000, 0.0000), In at (0.0000, 0.0000, 0.5000) and Co at (0.1757, 0.2500, 0.1250).

Compound: Ti5In4Co
Source: the Alexandria database
Functional: GGA-PBE
Structure: relaxed

For the energy of formation from the pure elements, the calculation gives -0.0425 eV per atom. As for the theoretical density: 6.5 g/cm³.

The structure belongs to space group I4/mmm (No. 139); the cell edges are 9.2518, 9.2518 and 4.5166 Å and the angles 90.00°, 90.00° and 90.00°. The asymmetric unit holds Ti at (0.0000, 0.0000, 0.0000), Ti at (0.1791, 0.1791, 0.5000), In at (0.0000, 0.3153, 0.0000) and Co at (0.0000, 0.0000, 0.5000).

Compound: TiInCo2
Source: the Alexandria database
Functional: GGA-PBE
Structure: relaxed

For the energy of formation from the pure elements, the calculation gives -0.2277 eV per atom. As for the theoretical density: 8.2 g/cm³.

The structure belongs to space group P4/mmm (No. 123); the cell edges are 3.0487, 3.0487 and 6.1173 Å and the angles 90.00°, 90.00° and 90.00°. The asymmetric unit holds Ti at (0.0000, 0.0000, 0.0000), In at (0.0000, 0.0000, 0.5000) and Co at (0.5000, 0.5000, 0.2221).

Compound: Ti12In3Co
Source: the Alexandria database
Functional: GGA-PBE
Structure: relaxed

For the energy of formation from the pure elements, the calculation gives -0.0970 eV per atom. As for the theoretical density: 5.9 g/cm³.

The structure belongs to space group P4/mmm (No. 123); the cell edges are 4.1941, 4.1941 and 15.7105 Å and the angles 90.00°, 90.00° and 90.00°. The asymmetric unit holds Ti at (0.0000, 0.0000, 0.0000), Ti at (0.0000, 0.0000, 0.2364), Ti at (0.0000, 0.0000, 0.5000), Ti at (0.0000, 0.5000, 0.1029), Ti at (0.0000, 0.5000, 0.3694), In at (0.5000, 0.5000, 0.2366), In at (0.5000, 0.5000, 0.5000) and Co at (0.5000, 0.5000, 0.0000).

Compound: TiIn2Co2
Source: the Alexandria database
Functional: GGA-PBE
Structure: relaxed

For the energy of formation from the pure elements, the calculation gives -0.0469 eV per atom. As for the theoretical density: 8.2 g/cm³.

The structure belongs to space group P4/mbm (No. 127); the cell edges are 6.2468, 6.2468 and 4.1227 Å and the angles 90.00°, 90.00° and 90.00°. The asymmetric unit holds Ti at (0.0000, 0.0000, 0.0000), In at (0.1748, 0.3252, 0.5000) and Co at (0.1319, 0.6319, 0.0000).

Compound: Ti7InCo2
Source: the Alexandria database
Functional: GGA-PBE
Structure: relaxed

For the energy of formation from the pure elements, the calculation gives 0.2507 eV per atom. As for the theoretical density: 4.9 g/cm³.

The structure belongs to space group Cmmm (No. 65); the cell edges are 7.2677, 11.8436 and 4.4419 Å and the angles 90.00°, 90.00° and 90.00°. The asymmetric unit holds Ti at (0.0000, 0.0000, 0.0000), Ti at (0.0000, 0.2247, 0.5000), Ti at (0.1885, 0.3726, 0.0000), In at (0.0000, 0.5000, 0.5000) and Co at (0.0000, 0.2020, 0.0000).

no.,electronic total energy (eV/atom)
1,-5.1582
2,-5.4827
3,-5.5635
4,-6.2299
5,-4.7823
6,-6.1153
7,-5.7687
8,-5.7960
9,-6.4390
10,-6.9758
11,-5.5636
12,-6.9708